# TiHgO2F

A relaxed TiHgO2F crystal (PBE-GGA, Alexandria).

Values from the calculation:
ρ = 7.82 g cm⁻³
DFT total energy = -5.956 eV per atom

Cell lengths 3.929, 3.929, 4.121 Å; angles 90.00, 90.00, 90.00 degrees
Fractional positions:
O  0.500  0.000  0.000
O  0.000  0.500  0.000
F  0.000  0.000  0.500
Ti  0.000  0.000  0.000
Hg  0.500  0.500  0.500